Record 1
First-principles (GGA-PBE) data for Rb5AsS4F2 after structural relaxation, as listed in Alexandria via LeMat-Bulk.

Geometry as POSCAR:
```
Rb5AsS4F2
1.0
-5.752 3.727 -3.009
-1.018 -5.071 4.975
0.618 5.975 6.218
Rb F S As
5 2 4 1
Cartesian
-4.235 4.000 5.349 Rb
-4.519 1.255 2.492 Rb
-1.503 4.162 2.161 Rb
-0.922 -0.014 3.354 Rb
-0.638 2.731 6.211 Rb
-5.878 3.610 3.126 F
-2.295 2.329 4.000 F
-3.266 3.441 -0.483 S
-1.301 -3.257 3.259 S
-2.905 6.932 3.149 S
-2.500 -0.011 0.259 S
-2.419 1.567 -1.266 As
```

Properties
The calculated volume is 396.26 Å³/f.u.


Record 2
First-principles (GGA-PBE) data for Rb2AsSF6 after structural relaxation, as listed in Alexandria via LeMat-Bulk.

Geometry as POSCAR:
```
Rb2AsSF6
1.0
6.785 0.000 0.000
0.000 6.785 0.000
3.392 3.392 4.578
F S Rb As
6 1 2 1
Cartesian
5.484 5.484 0.000 F
3.392 3.392 2.736 F
6.785 6.785 1.842 F
5.484 1.300 0.000 F
1.300 5.484 0.000 F
1.300 1.300 0.000 F
3.392 3.392 0.000 S
6.785 3.392 2.289 Rb
3.392 6.785 2.289 Rb
0.000 0.000 0.000 As
```

Properties
The calculated volume is 210.72 Å³/f.u.


Number 1: uncorrected formation energy -17.2 eV per formula unit, VASP energy -3.909 eV per atom. Number 2: uncorrected formation energy -19.2 eV per formula unit, VASP energy -4.110 eV per atom.